An optimized crystal structure of GdTmMnAg, computed with PBE.

**Energy of formation**: -0.0128 eV/atom

```
data_GdTmMnAg
_cell_length_a 5.0781
_cell_length_b 5.0781
_cell_length_c 5.0781
_cell_angle_alpha 60.00
_cell_angle_beta 60.00
_cell_angle_gamma 60.00
_space_group_name_H-M_alt 'P 1'
_space_group_IT_number 1
loop_
_space_group_symop_operation_xyz
'x,y,z'
loop_
_atom_site_label
_atom_site_fract_x
_atom_site_fract_y
_atom_site_fract_z
_atom_site_occupancy
Gd1 0.7500 0.7500 0.7500 1
Tm1 0.2500 0.2500 0.2500 1
Mn1 0.0000 0.0000 0.0000 1
Ag1 0.5000 0.5000 0.5000 1
```


An optimized crystal structure of Ti2GaNiRh, computed with PBE.

**Energy of formation**: 0.6654 eV/atom

```
data_Ti2GaNiRh
_cell_length_a 4.6499
_cell_length_b 4.1832
_cell_length_c 4.6499
_cell_angle_alpha 90.00
_cell_angle_beta 90.00
_cell_angle_gamma 90.00
_space_group_name_H-M_alt 'P 1'
_space_group_IT_number 1
loop_
_space_group_symop_operation_xyz
'x,y,z'
loop_
_atom_site_label
_atom_site_fract_x
_atom_site_fract_y
_atom_site_fract_z
_atom_site_occupancy
Ti1 0.0000 0.0000 0.5000 1
Ti2 0.5000 0.0000 0.0000 1
Ga1 0.0000 0.0000 0.0000 1
Ni1 0.0000 0.5000 0.0000 1
Rh1 0.5000 0.5000 0.5000 1
```


An optimized crystal structure of Cs3Np2CuSe6, computed with PBE.

**E_tot**: -65.3 eV per cell

```
data_Cs3Np2CuSe6
_cell_length_a 7.5554
_cell_length_b 7.5554
_cell_length_c 8.5649
_cell_angle_alpha 97.21
_cell_angle_beta 97.21
_cell_angle_gamma 124.01
_space_group_name_H-M_alt 'P 1'
_space_group_IT_number 1
loop_
_space_group_symop_operation_xyz
'x,y,z'
loop_
_atom_site_label
_atom_site_fract_x
_atom_site_fract_y
_atom_site_fract_z
_atom_site_occupancy
Se1 0.7502 0.7502 0.1533 1
Se2 0.9423 0.5724 0.8057 1
Se3 0.2498 0.2498 0.8467 1
Se4 0.0577 0.4276 0.1943 1
Se5 0.4276 0.0577 0.1943 1
Se6 0.5724 0.9423 0.8057 1
Cs1 0.8478 0.1522 0.5000 1
Cs2 0.5000 0.5000 0.5000 1
Cs3 0.1522 0.8478 0.5000 1
Cu1 0.0000 0.0000 0.0000 1
Np1 0.6656 0.3344 0.0000 1
Np2 0.3344 0.6656 0.0000 1
```


An optimized crystal structure of Pr3Pb4S8, computed with PBE.

**E_tot**: -79.6 eV per cell

```
data_Pr3Pb4S8
_cell_length_a 8.3177
_cell_length_b 8.3510
_cell_length_c 8.3510
_cell_angle_alpha 89.71
_cell_angle_beta 120.07
_cell_angle_gamma 120.07
_space_group_name_H-M_alt 'P 1'
_space_group_IT_number 1
loop_
_space_group_symop_operation_xyz
'x,y,z'
loop_
_atom_site_label
_atom_site_fract_x
_atom_site_fract_y
_atom_site_fract_z
_atom_site_occupancy
S1 0.0141 0.2565 0.2565 1
S2 0.5000 0.2532 0.7468 1
S3 0.4991 0.7459 0.7459 1
S4 0.0000 0.7487 0.2513 1
S5 0.5009 0.2541 0.2541 1
S6 0.0000 0.2513 0.7487 1
S7 0.5000 0.7468 0.2532 1
S8 0.9859 0.7435 0.7435 1
Pr1 0.5000 0.5000 0.0000 1
Pr2 0.5000 0.5000 0.5000 1
Pr3 0.5000 0.0000 0.5000 1
Pb1 0.0000 0.5000 0.0000 1
Pb2 0.5000 0.0000 0.0000 1
Pb3 0.0000 0.0000 0.5000 1
Pb4 0.0000 0.0000 0.0000 1
```


An optimized crystal structure of LiY2Re, computed with PBE.

**Energy of formation**: 0.4414 eV/atom

```
data_LiY2Re
_cell_length_a 3.0562
_cell_length_b 4.8006
_cell_length_c 6.0788
_cell_angle_alpha 90.00
_cell_angle_beta 90.00
_cell_angle_gamma 90.00
_space_group_name_H-M_alt 'P 1'
_space_group_IT_number 1
loop_
_space_group_symop_operation_xyz
'x,y,z'
loop_
_atom_site_label
_atom_site_fract_x
_atom_site_fract_y
_atom_site_fract_z
_atom_site_occupancy
Re1 0.5000 0.5000 0.7802 1
Y1 0.5000 0.5000 0.2819 1
Y2 0.0000 0.0000 0.9422 1
Li1 0.0000 0.0000 0.4958 1
```


An optimized crystal structure of LiCe2Ga6Tc, computed with PBE.

**Energy of formation**: -0.2074 eV/atom

```
data_LiCe2Ga6Tc
_cell_length_a 6.5659
_cell_length_b 6.5658
_cell_length_c 6.5658
_cell_angle_alpha 60.00
_cell_angle_beta 60.00
_cell_angle_gamma 90.00
_space_group_name_H-M_alt 'P 1'
_space_group_IT_number 1
loop_
_space_group_symop_operation_xyz
'x,y,z'
loop_
_atom_site_label
_atom_site_fract_x
_atom_site_fract_y
_atom_site_fract_z
_atom_site_occupancy
Ce1 0.7499 0.2501 0.5000 1
Ce2 0.2501 0.7499 0.5000 1
Ga1 0.7380 0.7380 0.0000 1
Ga2 0.2620 0.2620 0.4760 1
Ga3 0.2620 0.2620 0.0000 1
Ga4 0.7380 0.2620 0.0000 1
Ga5 0.2620 0.7380 0.0000 1
Ga6 0.7380 0.7380 0.5240 1
Li1 0.5000 0.5000 0.0000 1
Tc1 0.0000 0.0000 0.0000 1
```